Computed, not measured: a relaxed structure of Ac3La2Pr8 at the PBE level of DFT.

Unit cell a=21.590 b=8.141 c=5.903 alpha=90.00 beta=90.11 gamma=90.00
Space group C2/m (No. 12)
Asymmetric unit:
Ac (0.000, 0.000, 0.000) [2 per cell]
Ac (0.000, 0.286, 0.500) [4 per cell]
La (0.241, 0.000, 0.997) [4 per cell]
Pr (0.111, 0.298, 0.001) [8 per cell]
Pr (0.134, 0.000, 0.499) [4 per cell]
Pr (0.175, 0.500, 0.502) [4 per cell]

Calculated values
Total moment, μB per cell: 0.0
Energy, eV/atom: -4.409
Calculated volume, Å³/atom: 39.90
DOS(E_F), states/eV per cell: 48.55

---

Computed, not measured: a relaxed structure of SrPb at the PBE level of DFT.

Unit cell a=6.1018 b=6.1018 c=9.5518 alpha=90.00 beta=90.00 gamma=120.00
Space group P6_3/mmc (No. 194)
Asymmetric unit:
Sr (0.0000, 0.0000, 0.2500) [2 per cell]
Sr (0.3333, 0.6667, 0.2500) [2 per cell]
Pb (0.3333, 0.6667, 0.5932) [4 per cell]

Calculated values
Total moment, μB per cell: 0.0
Energy, eV/atom: -2.843
Calculated volume, Å³/atom: 38.50
DOS(E_F), states/eV per cell: 5.06

---

Computed, not measured: a relaxed structure of Ba2YRe at the PBE level of DFT.

Unit cell a=3.585 b=3.585 c=10.928 alpha=90.00 beta=90.00 gamma=90.00
Space group P4/mmm (No. 123)
Asymmetric unit:
Ba (0.000, 0.000, 0.193) [2 per cell]
Y (0.500, 0.500, 0.500) [1 per cell]
Re (0.500, 0.500, 0.000) [1 per cell]

Calculated values
Total moment, μB per cell: 2.3
Energy, eV/atom: -4.661
Energy above the lowest structure with this stoichiometry, eV/atom: 0.473
Calculated volume, Å³/atom: 35.10
DOS(E_F), states/eV per cell: 5.26